1.
# LiSc2AsO6

A geometry-optimized LiSc2AsO6 structure (PBE, Alexandria).

Results
The density comes out at 3.80 Mg/m³. The calculation puts the energy relative to the elements, uncorrected at -2.24 eV per atom. The calculation puts the density of states at the Fermi level at 0.000 states/eV per cell. The electronic total energy is -71.4 eV/cell.

abc: 4.960 4.960 4.754
angles: 90.00 90.00 90.00
Positions (direct):
Li 0.000 0.000 0.000
Sc 0.000 0.500 0.427
Sc 0.500 0.000 0.427
As 0.500 0.500 0.048
O 0.000 0.000 0.600
O 0.259 0.259 0.178
O 0.259 0.741 0.178
O 0.500 0.500 0.680
O 0.741 0.259 0.178
O 0.741 0.741 0.178

2.
# Li2ScAsO

A geometry-optimized Li2ScAsO structure (PBE, Alexandria).

Results
The density comes out at 1.48 Mg/m³. The calculation puts the energy relative to the elements, uncorrected at 0.82 eV per atom. The calculation puts the density of states at the Fermi level at 11.258 states/eV per cell. The electronic total energy is -15.6 eV/cell. As for the excess energy over the best structure of this formula in the dataset: 2560.3 meV per atom.

abc: 5.886 5.886 4.842
angles: 90.00 90.00 90.00
Positions (direct):
Li 0.000 0.500 0.000
Li 0.500 0.000 0.000
Sc 0.000 0.000 0.000
As 0.000 0.000 0.500
O 0.500 0.500 0.500

Question: Among the records above, which one has the highest energy relative to the elements, uncorrected?
Answer: Li2ScAsO

Copy entry 2 word for word.
# Li2ScAsO

A geometry-optimized Li2ScAsO structure (PBE, Alexandria).

Results
The density comes out at 1.48 Mg/m³. The calculation puts the energy relative to the elements, uncorrected at 0.82 eV per atom. The calculation puts the density of states at the Fermi level at 11.258 states/eV per cell. The electronic total energy is -15.6 eV/cell. As for the excess energy over the best structure of this formula in the dataset: 2560.3 meV per atom.

abc: 5.886 5.886 4.842
angles: 90.00 90.00 90.00
Positions (direct):
Li 0.000 0.500 0.000
Li 0.500 0.000 0.000
Sc 0.000 0.000 0.000
As 0.000 0.000 0.500
O 0.500 0.500 0.500

What did the second record say?
# Li2ScAsO

A geometry-optimized Li2ScAsO structure (PBE, Alexandria).

Results
The density comes out at 1.48 Mg/m³. The calculation puts the energy relative to the elements, uncorrected at 0.82 eV per atom. The calculation puts the density of states at the Fermi level at 11.258 states/eV per cell. The electronic total energy is -15.6 eV/cell. As for the excess energy over the best structure of this formula in the dataset: 2560.3 meV per atom.

abc: 5.886 5.886 4.842
angles: 90.00 90.00 90.00
Positions (direct):
Li 0.000 0.500 0.000
Li 0.500 0.000 0.000
Sc 0.000 0.000 0.000
As 0.000 0.000 0.500
O 0.500 0.500 0.500